Entry from Alexandria: MnBe2Os after structural relaxation (GGA-PBE).

The space group is Imm2 (No. 44) and the conventional cell measures 2.8675, 3.8049 and 7.6132 Å, with angles of 90.00, 90.00 and 90.00 degrees. The distinct sites, in fractional coordinates, are Mn at (0.0000, 0.0000, 0.0000), Be at (0.0000, 0.0000, 0.5267), Be at (0.0000, 0.5000, 0.2477) and Os at (0.0000, 0.5000, 0.7675).

The formation energy comes out at -0.1018 eV/atom. As for the total energy: -7.065 eV per atom.


Entry from Alexandria: HfScTi2F after structural relaxation (GGA-PBE).

The space group is P4/mmm (No. 123) and the conventional cell measures 5.3210, 5.3210 and 3.8000 Å, with angles of 90.00, 90.00 and 90.00 degrees. The distinct sites, in fractional coordinates, are Hf at (0.0000, 0.0000, 0.0000), Sc at (0.5000, 0.5000, 0.5000), Ti at (0.0000, 0.5000, 0.5000) and F at (0.5000, 0.5000, 0.0000).

As for the formation energy from raw total energies: 0.82 eV/f.u. As for the total energy: -6.625 eV per atom.